Below is an optimized crystal structure of CsAg2AuBr8, with properties calculated at the GGA-PBE level.

Lattice parameters (Å, degrees): 7.704 6.896 11.315 92.09 49.97 103.51
Fractional coordinates of all 12 atoms:
Cs 0.000 0.000 0.500
Ag 0.262 0.494 0.703
Ag 0.738 0.506 0.297
Au 0.000 0.000 0.000
Br 0.131 0.803 0.096
Br 0.438 0.517 0.129
Br 0.754 0.116 0.260
Br 0.869 0.197 0.904
Br 0.562 0.483 0.871
Br 0.246 0.884 0.740
Br 0.304 0.539 0.442
Br 0.696 0.461 0.558

Computed properties:
**Theoretical density**: 4.45 g/cm³
**Total DFT energy (no corrections)**: -28.88 eV for the cell shown
**Symmetry**: P-1, No. 2
**Crystal system**: triclinic
**Formation energy without anion corrections**: -0.47 eV per atom